Compound: AcTbNd
Source: the Alexandria database
Functional: PBE-GGA
Structure: optimized geometry

Cell: 3.7783 3.7783 15.6565 Å, 90.00 90.00 90.00°
With the nearest neighbours (Å) after each atom.
Space group I4mm (No. 107)
Symmetry-distinct sites (fractional):
Ac 0.0000 0.0000 0.0000 [2 per cell]  4 Tb 3.77, 4 Ac 3.78, 4 Nd 3.82
Tb 0.0000 0.0000 0.6699 [2 per cell]  4 Nd 3.62, 4 Ac 3.77, 4 Tb 3.78
Nd 0.0000 0.0000 0.3255 [2 per cell]  4 Tb 3.62, 4 Nd 3.78, 4 Ac 3.82

Results
total magnetic moment	0.000	μB/f.u.
distance to the lowest polymorph of the same formula	0.000	eV/atom
calculated density	7.88	Mg/m³
calculated volume	111.7	Å³/f.u.
energy of formation from the pure elements	0.0444	eV per atom